[1]
YZrSn2: optimized geometry, GGA-PBE.

calculated volume = 24.3 A^3/atom
space-group type = No. 123
DFT total energy = -6.23 eV per atom

Cell: 4.393 4.701 4.701 Å, 90.00 90.00 90.00°
Fractional coordinates of all 4 atoms:
Sn  0.000  0.500  0.000
Sn  0.000  0.000  0.500
Zr  0.500  0.500  0.500
Y  0.500  0.000  0.000

[2]
Y3ZrSn: optimized geometry, GGA-PBE.

calculated volume = 36.5 A^3/atom
space-group type = No. 221
DFT total energy = -5.88 eV per atom

Cell: 5.673 5.673 5.673 Å, 90.00 90.00 90.00°
Last column: magnetic moment on the atom in μB.
Fractional coordinates of all 5 atoms:
Y  0.000  0.500  0.000  0.24
Y  0.000  0.000  0.500  0.28
Y  0.500  0.000  0.000  0.26
Zr  0.500  0.500  0.500  1.21
Sn  0.000  0.000  0.000  0.05

[3]
YZrSn2: optimized geometry, GGA-PBE.

calculated volume = 24.8 A^3/atom
space-group type = No. 123
DFT total energy = -6.23 eV per atom

Cell: 3.894 3.894 6.546 Å, 90.00 90.00 90.00°
Fractional coordinates of all 4 atoms:
Sn  0.000  0.000  0.772
Sn  0.000  0.000  0.228
Zr  0.500  0.500  0.000
Y  0.500  0.500  0.500

[4]
Y2ZrSn2: optimized geometry, GGA-PBE.

calculated volume = 26.7 A^3/atom
space-group type = No. 139
DFT total energy = -6.04 eV per atom

Cell: 4.326 4.326 7.761 Å, 73.82 73.82 90.00°
Fractional coordinates of all 5 atoms:
Zr  0.000  0.000  0.000
Y  0.750  0.250  0.500
Y  0.250  0.750  0.500
Sn  0.405  0.405  0.190
Sn  0.595  0.595  0.810

[5]
Y3ZrSn: optimized geometry, GGA-PBE.

calculated volume = 32.7 A^3/atom
space-group type = No. 221
DFT total energy = -5.86 eV per atom

Cell: 5.466 5.466 5.466 Å, 90.00 90.00 90.00°
Fractional coordinates of all 5 atoms:
Y  0.500  0.000  0.000
Y  0.000  0.000  0.500
Y  0.000  0.500  0.000
Zr  0.000  0.000  0.000
Sn  0.500  0.500  0.500

[6]
Yb6Sn: optimized geometry, GGA-PBE.

calculated volume = 56.1 A^3/atom
space-group type = No. 229
DFT total energy = -0.78 eV per atom

Cell: 7.991 7.991 7.991 Å, 109.47 109.47 109.47°
Last column: magnetic moment on the atom in μB.
Fractional coordinates of all 7 atoms:
Yb  0.500  0.250  0.750  0.17
Yb  0.250  0.500  0.750  0.17
Yb  0.750  0.250  0.500  0.17
Yb  0.750  0.500  0.250  0.17
Yb  0.500  0.750  0.250  0.17
Yb  0.250  0.750  0.500  0.17
Sn  0.000  0.000  0.000  0.03

[7]
Yb5Sn3: optimized geometry, GGA-PBE.

calculated volume = 30.2 A^3/atom
space-group type = No. 140
DFT total energy = -3.13 eV per atom

Cell: 9.376 9.376 9.376 Å, 129.13 129.13 74.80°
Last column: magnetic moment on the atom in μB.
Fractional coordinates of all 16 atoms:
Yb  0.683  0.520  0.500  -0.23
Yb  0.317  0.480  0.500  -0.23
Yb  0.817  0.317  0.837  -0.23
Yb  0.000  0.000  0.000  -0.26
Yb  0.520  0.020  0.837  -0.23
Yb  0.020  0.183  0.500  -0.23
Yb  0.183  0.683  0.163  -0.23
Yb  0.980  0.817  0.500  -0.23
Yb  0.480  0.980  0.163  -0.23
Yb  0.500  0.500  0.000  -0.26
Sn  0.372  0.128  0.500  -0.01
Sn  0.250  0.250  0.000  -0.01
Sn  0.628  0.872  0.500  -0.01
Sn  0.750  0.750  0.000  -0.01
Sn  0.872  0.372  0.243  -0.01
Sn  0.128  0.628  0.757  -0.01

[8]
Yb5Sn3: optimized geometry, GGA-PBE.

calculated volume = 30.6 A^3/atom
space-group type = No. 193
DFT total energy = -3.11 eV per atom

Cell: 9.207 9.207 6.678 Å, 90.00 90.00 120.00°
Last column: magnetic moment on the atom in μB.
Fractional coordinates of all 16 atoms:
Yb  0.333  0.667  0.500  0.21
Yb  0.733  0.000  0.750  0.23
Yb  0.667  0.333  0.500  0.21
Yb  0.333  0.667  0.000  0.21
Yb  0.000  0.733  0.750  0.23
Yb  0.267  0.267  0.750  0.23
Yb  0.000  0.267  0.250  0.23
Yb  0.267  0.000  0.250  0.23
Yb  0.667  0.333  0.000  0.21
Yb  0.733  0.733  0.250  0.23
Sn  0.000  0.385  0.750  0.02
Sn  0.385  0.000  0.750  0.02
Sn  0.000  0.615  0.250  0.02
Sn  0.615  0.000  0.250  0.02
Sn  0.385  0.385  0.250  0.02
Sn  0.615  0.615  0.750  0.02

[9]
Yb2Sn: optimized geometry, GGA-PBE.

calculated volume = 28.8 A^3/atom
space-group type = No. 194
DFT total energy = -3.03 eV per atom

Cell: 5.379 5.379 6.902 Å, 90.00 90.00 120.00°
Last column: magnetic moment on the atom in μB.
Fractional coordinates of all 6 atoms:
Yb  0.333  0.667  0.750  0.23
Yb  0.000  0.000  0.000  0.22
Yb  0.667  0.333  0.250  0.23
Yb  0.000  0.000  0.500  0.22
Sn  0.333  0.667  0.250  0.01
Sn  0.667  0.333  0.750  0.01

[10]
Yb2ZnSn: optimized geometry, GGA-PBE.

calculated volume = 25.9 A^3/atom
space-group type = No. 225
DFT total energy = -2.65 eV per atom

Cell: 5.272 5.272 5.272 Å, 60.00 60.00 60.00°
Fractional coordinates of all 4 atoms:
Zn  0.250  0.250  0.250
Yb  0.500  0.500  0.500
Yb  0.000  0.000  0.000
Sn  0.750  0.750  0.750

[11]
Zn13Sn: optimized geometry, GGA-PBE.

calculated volume = 16.6 A^3/atom
space-group type = No. 226
DFT total energy = -1.42 eV per atom

Cell: 8.688 8.688 8.688 Å, 60.00 60.00 60.00°
Fractional coordinates of all 28 atoms:
Zn  0.500  0.500  0.500
Zn  0.700  0.061  0.939
Zn  0.439  0.561  0.200
Zn  0.700  0.300  0.061
Zn  0.061  0.300  0.939
Zn  0.800  0.561  0.439
Zn  0.200  0.561  0.800
Zn  0.000  0.000  0.000
Zn  0.561  0.200  0.439
Zn  0.800  0.439  0.200
Zn  0.300  0.061  0.700
Zn  0.200  0.439  0.561
Zn  0.939  0.700  0.061
Zn  0.439  0.800  0.561
Zn  0.061  0.700  0.300
Zn  0.300  0.700  0.939
Zn  0.939  0.061  0.300
Zn  0.800  0.200  0.561
Zn  0.200  0.800  0.439
Zn  0.561  0.800  0.200
Zn  0.439  0.200  0.800
Zn  0.061  0.939  0.700
Zn  0.939  0.300  0.700
Zn  0.561  0.439  0.800
Zn  0.300  0.939  0.061
Zn  0.700  0.939  0.300
Sn  0.750  0.750  0.750
Sn  0.250  0.250  0.250

[12]
ZnSn: optimized geometry, GGA-PBE.

calculated volume = 24.1 A^3/atom
space-group type = No. 39
DFT total energy = -2.55 eV per atom

Cell: 4.883 4.749 8.301 Å, 90.00 90.00 90.00°
Fractional coordinates of all 8 atoms:
Zn  0.148  0.250  0.126
Zn  0.852  0.750  0.126
Zn  0.148  0.750  0.626
Zn  0.852  0.250  0.626
Sn  0.314  0.250  0.432
Sn  0.686  0.750  0.432
Sn  0.686  0.250  0.932
Sn  0.314  0.750  0.932